Record 1
Computed, not measured: crystalline PmAl2ZnPt4 at its relaxed geometry at the PBE level of DFT.

ΔE_f = -0.9557 eV per atom
M_tot = 0.00 μB/atom

abc: 9.173 9.173 9.173
angles: 26.98 26.98 26.98
Fractional coordinates of all 8 atoms:
Pm 0.000 0.000 0.000
Al 0.239 0.239 0.239
Al 0.761 0.761 0.761
Zn 0.500 0.500 0.500
Pt 0.134 0.134 0.134
Pt 0.403 0.403 0.403
Pt 0.597 0.597 0.597
Pt 0.866 0.866 0.866


Record 2
Computed, not measured: crystalline Pm2Al4ZnPt3 at its relaxed geometry at the PBE level of DFT.

ΔE_f = -0.9695 eV per atom
M_tot = 0.00 μB/atom

abc: 4.266 4.266 10.545
angles: 90.00 90.00 90.00
Fractional coordinates of all 10 atoms:
Pm 0.000 0.500 0.249
Pm 0.500 0.000 0.751
Al 0.000 0.000 0.000
Al 0.000 0.500 0.632
Al 0.500 0.000 0.368
Al 0.500 0.500 0.000
Zn 0.000 0.000 0.500
Pt 0.000 0.500 0.868
Pt 0.500 0.000 0.132
Pt 0.500 0.500 0.500